(1)
Computed, not measured: an optimized crystal structure of LaMnB14 at the PBE level of DFT.

Its formation energy from the elements is -0.166 eV/atom. The spin magnetization is 7.2 Bohr magnetons per cell. The calculation puts the density of states at the Fermi level at 0.19 states/eV per atom. The energy comes out at -6.890 eV per atom.

Lattice parameters (Å, degrees): 5.860 7.467 7.467 68.11 66.90 66.90
Last column: magnetic moment on the atom in μB.
Sites, in units of the cell vectors:
1 B 0.325 0.972 0.875  -0.02
2 B 0.583 0.249 0.585  -0.01
3 B 0.281 0.399 0.718  -0.01
4 B 0.825 0.375 0.472  -0.02
5 B 0.602 0.399 0.718  -0.01
6 B 0.898 0.782 0.101  -0.01
7 B 0.166 0.804 0.865  -0.01
8 B 0.373 0.992 0.262  -0.01
9 B 0.083 0.085 0.749  -0.01
10 B 0.719 0.601 0.282  -0.01
11 B 0.327 0.375 0.472  -0.02
12 Mn 0.500 0.000 0.500  -3.23
13 B 0.334 0.635 0.696  -0.01
14 B 0.398 0.601 0.282  -0.01
15 B 0.834 0.196 0.135  -0.01
16 La 0.250 0.377 0.123  0.00
17 B 0.827 0.972 0.875  -0.02
18 B 0.219 0.782 0.101  -0.01
19 B 0.127 0.238 0.508  -0.01
20 B 0.781 0.218 0.899  -0.01
21 B 0.173 0.028 0.125  -0.02
22 B 0.175 0.625 0.528  -0.02
23 B 0.917 0.915 0.251  -0.01
24 B 0.102 0.218 0.899  -0.01
25 B 0.675 0.028 0.125  -0.02
26 Mn 0.000 0.000 0.500  -3.23
27 B 0.666 0.365 0.304  -0.01
28 B 0.873 0.762 0.492  -0.01
29 B 0.627 0.008 0.738  -0.01
30 La 0.750 0.623 0.877  0.00
31 B 0.417 0.751 0.415  -0.01
32 B 0.673 0.625 0.528  -0.02

(2)
Computed, not measured: an optimized crystal structure of LuPuCdRu at the PBE level of DFT.

Its formation energy from the elements is -0.090 eV/atom. The spin magnetization is 5.3 Bohr magnetons per cell. The calculation puts the density of states at the Fermi level at 2.73 states/eV per atom. The energy comes out at -7.351 eV per atom.

Lattice parameters (Å, degrees): 4.994 4.994 4.994 60.00 60.00 60.00
Last column: magnetic moment on the atom in μB.
Sites, in units of the cell vectors:
1 Lu 0.500 0.500 0.500  -0.11
2 Pu 0.000 0.000 0.000  -5.21
3 Ru 0.250 0.250 0.250  0.38
4 Cd 0.750 0.750 0.750  -0.03

(3)
Computed, not measured: an optimized crystal structure of KMn2Nb at the PBE level of DFT.

Its formation energy from the elements is 1.638 eV/atom. The spin magnetization is 0.0 Bohr magnetons per cell. The calculation puts the density of states at the Fermi level at 1.61 states/eV per atom. The energy comes out at -5.738 eV per atom. For the energy above the most stable polymorph in this dataset, the calculation gives 465 meV per atom.

Lattice parameters (Å, degrees): 4.698 4.698 9.025 74.91 74.91 90.00
Sites, in units of the cell vectors:
1 Nb 0.000 0.000 0.000
2 Nb 0.750 0.250 0.500
3 Mn 0.875 0.125 0.250
4 K 0.250 0.750 0.500
5 K 0.500 0.500 0.000
6 Mn 0.375 0.125 0.750
7 Mn 0.875 0.125 0.750
8 Mn 0.875 0.625 0.250

(4)
Computed, not measured: an optimized crystal structure of NaLiHg2Mo at the PBE level of DFT.

Its formation energy from the elements is 1.138 eV/atom. The spin magnetization is 4.5 Bohr magnetons per cell. The calculation puts the density of states at the Fermi level at 0.54 states/eV per atom. The energy comes out at -1.795 eV per atom. For the energy above the most stable polymorph in this dataset, the calculation gives 329 meV per atom.

Lattice parameters (Å, degrees): 5.420 5.560 5.420 90.00 90.00 90.00
Last column: magnetic moment on the atom in μB.
Sites, in units of the cell vectors:
1 Li 0.500 0.500 0.500  -0.02
2 Na 0.000 0.000 0.000  0.01
3 Mo 0.000 0.500 0.000  3.77
4 Hg 0.000 0.000 0.500  0.01
5 Hg 0.500 0.000 0.000  -0.01

(5)
Computed, not measured: an optimized crystal structure of LaBr2 at the PBE level of DFT.

The spin magnetization is 1.4 Bohr magnetons per cell. The calculation puts the density of states at the Fermi level at 0.36 states/eV per atom. The energy comes out at -4.411 eV per atom. As for the formation energy (no corrections): -1.65 eV per atom.

Lattice parameters (Å, degrees): 10.497 10.497 5.322 90.00 90.00 158.99
Last column: magnetic moment on the atom in μB.
Sites, in units of the cell vectors:
1 Br 0.683 0.317 0.750  -0.01
2 Br 0.553 0.447 0.250  0.01
3 La 0.074 0.926 0.750  -0.35
4 La 0.926 0.074 0.250  -0.35
5 Br 0.447 0.553 0.750  0.01
6 Br 0.317 0.683 0.250  -0.01

(6)
Computed, not measured: an optimized crystal structure of ErLuSb at the PBE level of DFT.

The spin magnetization is 1.0 Bohr magnetons per cell. The calculation puts the density of states at the Fermi level at 0.56 states/eV per atom. The energy comes out at -4.990 eV per atom. As for the formation energy (no corrections): -0.59 eV per atom.

Lattice parameters (Å, degrees): 3.903 3.903 5.980 109.05 109.05 90.00
Last column: magnetic moment on the atom in μB.
Sites, in units of the cell vectors:
1 Sb 0.619 0.619 0.237  0.00
2 Lu 0.270 0.270 0.541  0.32
3 Er 0.961 0.961 0.922  0.40

(7)
Computed, not measured: an optimized crystal structure of Co3BIr at the PBE level of DFT.

Its formation energy from the elements is 0.201 eV/atom. The spin magnetization is 4.4 Bohr magnetons per cell. The calculation puts the density of states at the Fermi level at 1.39 states/eV per atom. The energy comes out at -7.170 eV per atom. For the energy above the most stable polymorph in this dataset, the calculation gives 0 meV per atom.

Lattice parameters (Å, degrees): 3.809 3.809 3.809 90.00 90.00 90.00
Last column: magnetic moment on the atom in μB.
Sites, in units of the cell vectors:
1 Co 0.000 0.000 0.500  1.14
2 Co 0.000 0.500 0.000  1.26
3 Co 0.500 0.000 0.000  1.42
4 B 0.000 0.000 0.000  -0.10
5 Ir 0.500 0.500 0.500  0.67

(8)
Computed, not measured: an optimized crystal structure of GaSnAu at the PBE level of DFT.

Its formation energy from the elements is -0.144 eV/atom. The spin magnetization is 0.0 Bohr magnetons per cell. The calculation puts the density of states at the Fermi level at 0.42 states/eV per atom. The energy comes out at -3.579 eV per atom.

Lattice parameters (Å, degrees): 4.453 5.157 6.664 73.04 68.91 92.78
Sites, in units of the cell vectors:
1 Au 0.315 0.714 0.138
2 Sn 0.539 0.293 0.933
3 Ga 0.726 0.845 0.325
4 Ga 0.845 0.282 0.416
5 Sn 0.031 0.834 0.807
6 Au 0.256 0.413 0.603

(9)
Computed, not measured: an optimized crystal structure of ReAuSe2 at the PBE level of DFT.

The spin magnetization is 0.0 Bohr magnetons per cell. The calculation puts the density of states at the Fermi level at 0.85 states/eV per atom. The energy comes out at -5.502 eV per atom. As for the formation energy (no corrections): 0.17 eV per atom. For the energy above the most stable polymorph in this dataset, the calculation gives 58 meV per atom.

Lattice parameters (Å, degrees): 6.639 6.639 6.513 48.60 48.60 27.24
Sites, in units of the cell vectors:
1 Se 0.760 0.760 0.812
2 Se 0.927 0.927 0.041
3 Au 0.553 0.553 0.546
4 Re 0.260 0.260 0.100

(10)
Computed, not measured: an optimized crystal structure of SnPb3I8 at the PBE level of DFT.

The spin magnetization is 0.0 Bohr magnetons per cell. The calculation puts the density of states at the Fermi level at 0.00 states/eV per atom. The energy comes out at -2.909 eV per atom. As for the formation energy (no corrections): -0.61 eV per atom.

Lattice parameters (Å, degrees): 9.281 9.276 9.291 120.34 90.00 120.02
Sites, in units of the cell vectors:
1 I 0.754 0.002 0.246
2 Pb 0.500 0.500 0.000
3 Sn 0.000 0.000 0.000
4 I 0.246 0.998 0.754
5 I 0.753 0.998 0.754
6 I 0.250 0.499 0.752
7 I 0.247 0.002 0.246
8 I 0.247 0.495 0.246
9 Pb 0.000 0.500 0.000
10 Pb 0.500 0.000 0.000
11 I 0.753 0.505 0.754
12 I 0.750 0.501 0.248

(11)
Computed, not measured: an optimized crystal structure of NpTiAs2 at the PBE level of DFT.

Its formation energy from the elements is -0.774 eV/atom. The spin magnetization is 3.9 Bohr magnetons per cell. The calculation puts the density of states at the Fermi level at 2.44 states/eV per atom. The energy comes out at -8.307 eV per atom. For the energy above the most stable polymorph in this dataset, the calculation gives 0 meV per atom.

Lattice parameters (Å, degrees): 3.874 3.874 6.729 73.27 73.27 60.00
Last column: magnetic moment on the atom in μB.
Sites, in units of the cell vectors:
1 As 0.260 0.260 0.221  -0.05
2 As 0.740 0.740 0.779  -0.05
3 Np 0.500 0.500 0.500  3.67
4 Ti 0.000 0.000 0.000  0.08

(12)
Computed, not measured: an optimized crystal structure of YCd2Se at the PBE level of DFT.

The spin magnetization is 0.0 Bohr magnetons per cell. The calculation puts the density of states at the Fermi level at 0.54 states/eV per atom. The energy comes out at -3.208 eV per atom. As for the formation energy (no corrections): -0.26 eV per atom.

Lattice parameters (Å, degrees): 8.349 8.349 8.349 27.35 27.35 27.35
Sites, in units of the cell vectors:
1 Cd 0.988 0.988 0.988
2 Se 0.250 0.250 0.250
3 Cd 0.512 0.512 0.512
4 Y 0.750 0.750 0.750

Which value of energy does entry 6 give? -4.990 eV per atom

Among the records above, which one has the lowest energy? NpTiAs2

Please write out number 3 again, unchanged.
Computed, not measured: an optimized crystal structure of KMn2Nb at the PBE level of DFT.

Its formation energy from the elements is 1.638 eV/atom. The spin magnetization is 0.0 Bohr magnetons per cell. The calculation puts the density of states at the Fermi level at 1.61 states/eV per atom. The energy comes out at -5.738 eV per atom. For the energy above the most stable polymorph in this dataset, the calculation gives 465 meV per atom.

Lattice parameters (Å, degrees): 4.698 4.698 9.025 74.91 74.91 90.00
Sites, in units of the cell vectors:
1 Nb 0.000 0.000 0.000
2 Nb 0.750 0.250 0.500
3 Mn 0.875 0.125 0.250
4 K 0.250 0.750 0.500
5 K 0.500 0.500 0.000
6 Mn 0.375 0.125 0.750
7 Mn 0.875 0.125 0.750
8 Mn 0.875 0.625 0.250

Among the records above, which one has the lowest energy? NpTiAs2